Crystalline TbDyCdCu at its relaxed geometry. Source: Alexandria via LeMat-Bulk, functional PBE.

Cell lengths 3.5264, 3.5264, 7.6213 Å; angles 90.00, 90.00, 90.00 degrees
Fractional coordinates of all 4 atoms:
Cd 0.0000 0.0000 0.0727
Cu 0.0000 0.0000 0.5692
Dy 0.5000 0.5000 0.3492
Tb 0.5000 0.5000 0.7935

Calculated values
symmetry = P4mm
crystal system = tetragonal
total DFT energy (no corrections) = -15.3 eV per formula unit
spin magnetization = 0.00 μB per formula unit
formation energy from the elements = -0.271 eV per atom
E above lowest polymorph = 0.0000 eV/atom

---

Crystalline TbDyCdCu at its relaxed geometry. Source: Alexandria via LeMat-Bulk, functional PBE.

Cell lengths 5.1283, 5.1283, 5.1283 Å; angles 60.00, 60.00, 60.00 degrees
Fractional coordinates of all 4 atoms:
Cu 0.5000 0.5000 0.5000
Tb 0.2500 0.2500 0.2500
Cd 0.0000 0.0000 0.0000
Dy 0.7500 0.7500 0.7500

Calculated values
symmetry = F-43m
crystal system = cubic
total DFT energy (no corrections) = -15.2 eV per formula unit
spin magnetization = 0.00 μB per formula unit
formation energy from the elements = -0.227 eV per atom
E above lowest polymorph = 0.0444 eV/atom

---

Crystalline DyThCdCu at its relaxed geometry. Source: Alexandria via LeMat-Bulk, functional PBE.

Cell lengths 5.2072, 5.2072, 5.2072 Å; angles 60.00, 60.00, 60.00 degrees
Fractional coordinates of all 4 atoms:
Cu 0.2500 0.2500 0.2500
Th 0.0000 0.0000 0.0000
Cd 0.7500 0.7500 0.7500
Dy 0.5000 0.5000 0.5000

Calculated values
symmetry = F-43m
crystal system = cubic
total DFT energy (no corrections) = -17.4 eV per formula unit
spin magnetization = 0.66 μB per formula unit
formation energy from the elements = -0.081 eV per atom

---

Crystalline DyTmCdCu at its relaxed geometry. Source: Alexandria via LeMat-Bulk, functional PBE.

Cell lengths 5.0827, 5.0827, 5.0827 Å; angles 60.00, 60.00, 60.00 degrees
Fractional coordinates of all 4 atoms:
Cd 0.0000 0.0000 0.0000
Tm 0.7500 0.7500 0.7500
Dy 0.2500 0.2500 0.2500
Cu 0.5000 0.5000 0.5000

Calculated values
symmetry = F-43m
crystal system = cubic
total DFT energy (no corrections) = -15.0 eV per formula unit
spin magnetization = 0.00 μB per formula unit
formation energy from the elements = -0.236 eV per atom
E above lowest polymorph = 0.0486 eV/atom

---

Crystalline DyTmCdCu at its relaxed geometry. Source: Alexandria via LeMat-Bulk, functional PBE.

Cell lengths 3.4790, 3.4790, 7.6286 Å; angles 90.00, 90.00, 90.00 degrees
Fractional coordinates of all 4 atoms:
Cu 0.5000 0.5000 0.6002
Cd 0.5000 0.5000 0.1120
Tm 0.0000 0.0000 0.3872
Dy 0.0000 0.0000 0.8286

Calculated values
symmetry = P4mm
crystal system = tetragonal
total DFT energy (no corrections) = -15.2 eV per formula unit
spin magnetization = 0.00 μB per formula unit
formation energy from the elements = -0.284 eV per atom
E above lowest polymorph = 0.0000 eV/atom

---

Crystalline Dy4ZnCdCu2 at its relaxed geometry. Source: Alexandria via LeMat-Bulk, functional PBE.

Cell lengths 5.0442, 5.0442, 8.7458 Å; angles 73.24, 73.24, 60.00 degrees
Fractional coordinates of all 8 atoms:
Dy 0.6212 0.6212 0.1365
Cu 0.2519 0.2519 0.2444
Cd 0.0000 0.0000 0.0000
Dy 0.1285 0.1285 0.6145
Zn 0.5000 0.5000 0.5000
Dy 0.3788 0.3788 0.8635
Dy 0.8715 0.8715 0.3855
Cu 0.7481 0.7481 0.7556

Calculated values
symmetry = R-3m
crystal system = trigonal
total DFT energy (no corrections) = -30.9 eV per formula unit
spin magnetization = 0.00 μB per formula unit
formation energy from the elements = -0.259 eV per atom

---

Crystalline Dy2Zn3CdCu12 at its relaxed geometry. Source: Alexandria via LeMat-Bulk, functional PBE.

Cell lengths 6.5617, 6.5617, 6.5617 Å; angles 85.03, 85.03, 85.03 degrees
Fractional coordinates of all 18 atoms:
Cu 0.2023 0.7102 0.2023
Cu 0.4153 0.8654 0.4153
Cu 0.4153 0.4153 0.8654
Cu 0.8654 0.4153 0.4153
Cu 0.1346 0.5847 0.5847
Dy 0.7048 0.7048 0.7048
Cu 0.5847 0.5847 0.1346
Zn 0.5000 0.0000 0.0000
Zn 0.0000 0.5000 0.0000
Cd 0.0000 0.0000 0.0000
Cu 0.2898 0.7977 0.7977
Cu 0.7102 0.2023 0.2023
Cu 0.2023 0.2023 0.7102
Cu 0.7977 0.2898 0.7977
Zn 0.0000 0.0000 0.5000
Cu 0.5847 0.1346 0.5847
Cu 0.7977 0.7977 0.2898
Dy 0.2952 0.2952 0.2952

Calculated values
symmetry = R-3m
crystal system = trigonal
total DFT energy (no corrections) = -62.0 eV per formula unit
spin magnetization = 0.00 μB per formula unit
formation energy from the elements = 0.060 eV per atom

---

Crystalline DyZnCdCu at its relaxed geometry. Source: Alexandria via LeMat-Bulk, functional PBE.

Cell lengths 4.7493, 4.7493, 4.7493 Å; angles 60.00, 60.00, 60.00 degrees
Fractional coordinates of all 4 atoms:
Cd 0.5000 0.5000 0.5000
Zn 0.2500 0.2500 0.2500
Cu 0.7500 0.7500 0.7500
Dy 0.0000 0.0000 0.0000

Calculated values
symmetry = F-43m
crystal system = cubic
total DFT energy (no corrections) = -12.0 eV per formula unit
spin magnetization = 0.00 μB per formula unit
formation energy from the elements = -0.271 eV per atom

---

Crystalline Dy2Zn12CdCu3 at its relaxed geometry. Source: Alexandria via LeMat-Bulk, functional PBE.

Cell lengths 8.2091, 8.2091, 8.2091 Å; angles 59.91, 59.91, 59.91 degrees
Fractional coordinates of all 18 atoms:
Cd 0.0000 0.0000 0.0000
Zn 0.3408 0.3408 0.8630
Zn 0.8355 0.4761 0.8355
Zn 0.1645 0.1645 0.5239
Dy 0.5929 0.5929 0.5929
Cu 0.0000 0.5000 0.0000
Dy 0.4071 0.4071 0.4071
Zn 0.3408 0.8630 0.3408
Cu 0.0000 0.0000 0.5000
Zn 0.8630 0.3408 0.3408
Zn 0.4761 0.8355 0.8355
Zn 0.5239 0.1645 0.1645
Cu 0.5000 0.0000 0.0000
Zn 0.8355 0.8355 0.4761
Zn 0.1370 0.6592 0.6592
Zn 0.6592 0.6592 0.1370
Zn 0.1645 0.5239 0.1645
Zn 0.6592 0.1370 0.6592

Calculated values
symmetry = R-3m
crystal system = trigonal
total DFT energy (no corrections) = -33.3 eV per formula unit
spin magnetization = 0.00 μB per formula unit
formation energy from the elements = 0.244 eV per atom

---

Crystalline DyZrCdCu at its relaxed geometry. Source: Alexandria via LeMat-Bulk, functional PBE.

Cell lengths 4.9726, 4.9726, 4.9726 Å; angles 60.00, 60.00, 60.00 degrees
Fractional coordinates of all 4 atoms:
Cd 0.7500 0.7500 0.7500
Zr 0.0000 0.0000 0.0000
Dy 0.5000 0.5000 0.5000
Cu 0.2500 0.2500 0.2500

Calculated values
symmetry = F-43m
crystal system = cubic
total DFT energy (no corrections) = -18.4 eV per formula unit
spin magnetization = 1.12 μB per formula unit
formation energy from the elements = -0.064 eV per atom

---

Crystalline ErCd2Cu at its relaxed geometry. Source: Alexandria via LeMat-Bulk, functional PBE.

Cell lengths 6.3028, 6.3028, 4.6077 Å; angles 90.00, 90.00, 112.06 degrees
Fractional coordinates of all 8 atoms:
Cd 0.6096 0.8035 0.7500
Er 0.1381 0.8619 0.7500
Cd 0.8035 0.6096 0.2500
Cu 0.6798 0.3202 0.7500
Cd 0.3904 0.1965 0.2500
Cd 0.1965 0.3904 0.7500
Cu 0.3202 0.6798 0.2500
Er 0.8619 0.1381 0.2500

Calculated values
symmetry = Cmcm
crystal system = orthorhombic
total DFT energy (no corrections) = -11.1 eV per formula unit
spin magnetization = 0.00 μB per formula unit
formation energy from the elements = -0.157 eV per atom

---

Crystalline Er2Cd5Cu at its relaxed geometry. Source: Alexandria via LeMat-Bulk, functional PBE.

Cell lengths 4.6747, 4.6747, 10.7499 Å; angles 77.44, 77.44, 60.00 degrees
Fractional coordinates of all 8 atoms:
Er 0.0873 0.0873 0.7381
Cu 0.0000 0.0000 0.0000
Cd 0.3564 0.3564 0.9309
Cd 0.6437 0.6437 0.0691
Er 0.9127 0.9127 0.2619
Cd 0.8016 0.8016 0.5952
Cd 0.5000 0.5000 0.5000
Cd 0.1984 0.1984 0.4048

Calculated values
symmetry = R-3m
crystal system = trigonal
total DFT energy (no corrections) = -18.1 eV per formula unit
spin magnetization = 0.00 μB per formula unit
formation energy from the elements = -0.033 eV per atom

---

Crystalline Er2Cd3Cu2 at its relaxed geometry. Source: Alexandria via LeMat-Bulk, functional PBE.

Cell lengths 3.6068, 4.2199, 10.1637 Å; angles 101.98, 90.00, 90.00 degrees
Fractional coordinates of all 7 atoms:
Er 0.0000 0.1719 0.3438
Cd 0.5000 0.4231 0.8461
Cd 0.0000 0.0000 0.0000
Cu 0.5000 0.7152 0.4305
Cu 0.5000 0.2848 0.5695
Er 0.0000 0.8281 0.6562
Cd 0.5000 0.5769 0.1539

Calculated values
symmetry = Cmmm
crystal system = orthorhombic
total DFT energy (no corrections) = -21.8 eV per formula unit
spin magnetization = 0.00 μB per formula unit
formation energy from the elements = -0.244 eV per atom